1.
Computed, not measured: Sr2LiLa at its PBEsol-relaxed geometry at the meta-GGA SCAN level of DFT.

Results
VASP energy in eV/atom: -22.261
Polymorph energy (0 for the lowest one) in meV/atom: 127.7
Mass density in g/cm³: 3.4

a = 8.568 Å, b = 8.568 Å, c = 8.568 Å
α = 90.00°, β = 90.00°, γ = 90.00°
Space group F-43m (No. 216)
One atom of each set of equivalent atoms:
Sr (0.000, 0.000, 0.000) (multiplicity 4)
Sr (0.250, 0.250, 0.250) (multiplicity 4)
Li (0.000, 0.000, 0.500) (multiplicity 4)
La (0.250, 0.250, 0.750) (multiplicity 4)

***

2.
Computed, not measured: SrLi2La2 at its PBEsol-relaxed geometry at the meta-GGA SCAN level of DFT.

Results
VASP energy in eV/atom: -22.342
Mass density in g/cm³: 3.8

a = 5.321 Å, b = 5.321 Å, c = 11.734 Å
α = 90.00°, β = 90.00°, γ = 90.00°
Space group I4/mmm (No. 139)
One atom of each set of equivalent atoms:
Sr (0.000, 0.000, 0.000) (multiplicity 2)
Li (0.000, 0.500, 0.250) (multiplicity 4)
La (0.000, 0.000, 0.380) (multiplicity 4)